VASP calculation (PBE-GGA) on K3Zr after structural relaxation.

Unit cell a=7.8099 b=7.8099 c=3.4796 alpha=90.00 beta=90.00 gamma=117.59
Each line ends with the local moment (μB).
Fractional coordinates of all 4 atoms:
K  0.0000  0.5000  0.5000  0.01
K  0.5000  0.0000  0.5000  0.01
K  0.5000  0.5000  0.0000  0.01
Zr  0.0000  0.0000  0.0000  1.50

Results
density of states at the Fermi level = 4.31 states/eV/f.u.
M_tot = 3.1 μB per formula unit
energy of formation = 18.97 kcal/mol of atoms
polymorph energy (0 for the lowest one) = 262 meV/atom
space-group type = Cmmm
calculated total energy = -2.138 eV/atom

---

VASP calculation (PBE-GGA) on KReCl2 after structural relaxation.

Unit cell a=9.3637 b=9.3637 c=9.3637 alpha=19.54 beta=19.54 gamma=19.54
Fractional coordinates of all 4 atoms:
Re  0.0000  0.0000  0.0000
K  0.5000  0.5000  0.5000
Cl  0.9159  0.9159  0.9159
Cl  0.0841  0.0841  0.0841

Results
density of states at the Fermi level = 1.69 states/eV/f.u.
M_tot = 0.0 μB per formula unit
polymorph energy (0 for the lowest one) = 58 meV/atom
space-group type = R-3m
E_form (uncorrected) = -0.024 eV per atom
calculated total energy = -4.333 eV/atom